Record 1
Below is Mg16Al12Zn at its PBEsol-relaxed geometry, with properties calculated at the SCAN level.

Cell lengths 8.994, 8.994, 8.996 Å; angles 109.25, 109.25, 109.27 degrees
Element x y z (fractional)
1 Mg 0.311 0.311 0.709
2 Mg 0.996 0.996 0.652
3 Mg 0.002 0.002 0.003
4 Mg 0.363 0.363 0.338
5 Mg 0.675 0.406 0.006
6 Mg 0.597 0.286 0.599
7 Mg 0.001 0.683 0.400
8 Mg 0.999 0.650 0.003
9 Mg 0.707 0.320 0.313
10 Mg 0.400 0.998 0.681
11 Mg 0.998 0.400 0.681
12 Mg 0.320 0.707 0.313
13 Mg 0.650 0.999 0.003
14 Mg 0.683 0.001 0.400
15 Mg 0.286 0.597 0.599
16 Mg 0.406 0.675 0.006
17 Al 0.634 0.634 0.823
18 Al 0.813 0.813 0.188
19 Al 0.360 0.177 0.991
20 Al 0.817 0.632 0.632
21 Al 0.185 0.999 0.365
22 Al 0.180 0.808 0.812
23 Al 0.367 0.996 0.182
24 Al 0.996 0.367 0.182
25 Al 0.808 0.180 0.812
26 Al 0.999 0.185 0.365
27 Al 0.632 0.817 0.632
28 Al 0.177 0.360 0.991
29 Zn 0.637 0.637 0.319

Values from the calculation:
- Energy relative to the elements: -0.025 eV per atom
- SG: Cm
- Volume: 564.6 Å³/cell
- Density of states at the Fermi level: 10.07 states/eV per cell
- VASP energy: -6.4433 eV per atom
- Polymorph energy (0 for the lowest one): 0.0 kJ/mol of atoms

Record 2
Below is MgAl2Zn at its PBEsol-relaxed geometry, with properties calculated at the SCAN level.

Cell lengths 2.881, 2.881, 8.118 Å; angles 90.00, 90.00, 90.00 degrees
Element x y z (fractional)
1 Mg 0.000 0.000 0.512
2 Zn 0.500 0.500 0.761
3 Al 0.000 0.000 0.988
4 Al 0.500 0.500 0.238

Values from the calculation:
- Energy relative to the elements: -0.016 eV per atom
- SG: P4mm
- Volume: 67.4 Å³/cell
- Density of states at the Fermi level: 1.32 states/eV per cell
- VASP energy: -8.5146 eV per atom

Record 3
Below is MgAl2Zn at its PBEsol-relaxed geometry, with properties calculated at the SCAN level.

Cell lengths 2.946, 4.262, 5.667 Å; angles 90.00, 105.33, 90.00 degrees
Element x y z (fractional)
1 Mg 0.453 0.000 0.534
2 Zn 0.054 0.500 0.731
3 Al 0.195 0.000 0.014
4 Al 0.798 0.500 0.221

Values from the calculation:
- Energy relative to the elements: 0.009 eV per atom
- SG: Pm
- Volume: 68.6 Å³/cell
- Density of states at the Fermi level: 1.56 states/eV per cell
- VASP energy: -8.4892 eV per atom